(1)
DFT (GGA+U) results for a relaxed Co2BiSO crystal.

The structure belongs to space group P4/mmm (No. 123); the cell edges are 4.042, 4.042 and 5.243 Å and the angles 90.00°, 90.00° and 90.00°. The asymmetric unit holds Co at (0.000, 0.500, 0.000), Bi at (0.000, 0.000, 0.500), S at (0.500, 0.500, 0.000) and O at (0.500, 0.500, 0.500).

=====

(2)
DFT (GGA+U) results for a relaxed CoBi2SbO6 crystal.

The structure belongs to space group P2_1/c (No. 14); the cell edges are 5.604, 6.033 and 9.748 Å and the angles 90.00°, 124.59° and 90.00°. The asymmetric unit holds Co at (0.000, 0.000, 0.000), Bi at (0.246, 0.052, 0.758), Sb at (0.500, 0.000, 0.500), O at (0.127, 0.190, 0.441), O at (0.282, 0.688, 0.453) and O at (0.365, 0.042, 0.245).

=====

(3)
DFT (GGA+U) results for a relaxed CoBiSbO6 crystal.

The structure belongs to space group P4_2nm (No. 102); the cell edges are 4.821, 4.821 and 9.694 Å and the angles 90.00°, 90.00° and 90.00°. The asymmetric unit holds Co at (0.000, 0.000, 0.000), Bi at (0.000, 0.000, 0.669), Sb at (0.000, 0.000, 0.334), O at (0.184, 0.184, 0.172), O at (0.196, 0.196, 0.492) and O at (0.202, 0.202, 0.839).

=====

(4)
DFT (GGA+U) results for a relaxed ScCo2BiO6 crystal.

The structure belongs to space group R3 (No. 146, hexagonal axes); the cell edges are 5.3164, 5.3164 and 13.9620 Å and the angles 90.00°, 90.00° and 120.00°. The asymmetric unit holds Sc at (0.0000, 0.0000, 0.0000), Co at (0.0000, 0.0000, 0.2985), Co at (0.0000, 0.0000, 0.7838), Bi at (0.0000, 0.0000, 0.5112), O at (0.0071, 0.4109, 0.5591) and O at (0.0224, 0.7211, 0.3851).

=====

(5)
DFT (GGA+U) results for a relaxed CoBiSe2O8 crystal.

The structure belongs to space group P-3m1 (No. 164); the cell edges are 5.7789, 5.7789 and 6.1591 Å and the angles 90.00°, 90.00° and 120.00°. The asymmetric unit holds Co at (0.0000, 0.0000, 0.0000), Bi at (0.0000, 0.0000, 0.5000), Se at (0.3333, 0.6667, 0.7786), O at (0.1464, 0.2927, 0.7984) and O at (0.3333, 0.6667, 0.5104).

=====

(6)
DFT (GGA+U) results for a relaxed CoSiBi2O crystal.

The structure belongs to space group P4/mmm (No. 123); the cell edges are 5.108, 5.108 and 3.793 Å and the angles 90.00°, 90.00° and 90.00°. The asymmetric unit holds Co at (0.000, 0.000, 0.000), Si at (0.500, 0.500, 0.000), Bi at (0.000, 0.500, 0.500) and O at (0.500, 0.500, 0.500).

=====

Let's list DFT total energy in order: -4.1963; -5.8106; -5.8857; -6.5943; -5.2576; -4.2586 eV/atom.